GGA-PBE TmZnHg2, relaxed; energy of formation = -0.26 eV per atom; energy above the lowest structure with this stoichiometry = 18 meV per atom; total magnetization = 0.00 μB/f.u.
1.0
3.4705 0.0000 0.0000
0.0000 20.8908 0.0000
0.0000 0.0000 4.8490
Tm Zn Hg
4 4 8
direct
0.0000 0.0971 0.2500
0.0000 0.9029 0.7500
0.5000 0.4029 0.7500
0.5000 0.5971 0.2500
0.0000 0.3367 0.2500
0.0000 0.6633 0.7500
0.5000 0.1633 0.7500
0.5000 0.8367 0.2500
0.0000 0.2770 0.7500
0.0000 0.4631 0.2500
0.0000 0.5369 0.7500
0.0000 0.7230 0.2500
0.5000 0.0369 0.7500
0.5000 0.2230 0.2500
0.5000 0.7770 0.7500
0.5000 0.9631 0.2500

***

GGA-PBE TaGa, relaxed; energy of formation = 1.67 eV per atom; total magnetization = 0.00 μB/f.u.
1.0
7.1892 0.0000 0.0000
0.0000 7.1892 0.0000
0.0000 0.0000 7.1892
Ta Ga
6 6
direct
0.0000 0.2500 0.5000
0.0000 0.7500 0.5000
0.2500 0.5000 0.0000
0.5000 0.0000 0.2500
0.5000 0.0000 0.7500
0.7500 0.5000 0.0000
0.0000 0.5000 0.2500
0.0000 0.5000 0.7500
0.2500 0.0000 0.5000
0.5000 0.2500 0.0000
0.5000 0.7500 0.0000
0.7500 0.0000 0.5000

***

GGA-PBE CrFeS3, relaxed; energy above the lowest structure with this stoichiometry = 0 meV per atom; total magnetization = 4.08 μB/f.u.; E_form (uncorrected) = -0.51 eV/atom
1.0
5.7669 0.0000 0.0000
0.0000 3.3709 0.0000
-1.7054 0.0000 8.1846
Cr Fe S
2 2 6
direct
0.1382 0.2500 0.1639
0.8618 0.7500 0.8361
0.2952 0.2500 0.5147
0.7048 0.7500 0.4853
0.0435 0.7500 0.3583
0.2407 0.7500 0.0006
0.4680 0.7500 0.6670
0.5320 0.2500 0.3330
0.7593 0.2500 0.9994
0.9565 0.2500 0.6417

***

GGA-PBE La2Th4Pb3N2, relaxed; total magnetization = 0.00 μB/f.u.; E_form (uncorrected) = -0.79 eV/atom
1.0
-2.4361 2.4361 13.4709
2.4361 -2.4361 13.4709
2.4361 2.4361 -13.4709
La Th Pb N
2 4 3 2
direct
0.1951 0.1951 0.0000
0.8049 0.8049 0.0000
0.0831 0.5831 0.5000
0.4169 0.9169 0.5000
0.5831 0.0831 0.5000
0.9169 0.4169 0.5000
0.3235 0.3235 0.0000
0.5000 0.5000 0.0000
0.6765 0.6765 0.0000
0.0999 0.0999 0.0000
0.9001 0.9001 0.0000

***

GGA-PBE InFeP2, relaxed; energy of formation = 0.02 eV per atom; total magnetization = 0.89 μB/f.u.
1.0
2.8626 0.0000 0.0000
0.0000 2.8626 0.0000
0.0000 0.0000 8.2087
In Fe P
1 1 2
direct
0.0000 0.0000 0.0000
0.0000 0.0000 0.5000
0.5000 0.5000 0.3409
0.5000 0.5000 0.6591

***

GGA-PBE Pm2ZrAu6, relaxed; energy of formation = -0.61 eV per atom; total magnetization = 0.00 μB/f.u.
1.0
6.8574 -5.6126 0.0000
6.8574 5.6126 0.0000
-1.0307 0.0000 5.1594
Pm Zr Au
4 2 12
direct
0.0427 0.2838 0.0789
0.2838 0.0427 0.5789
0.7162 0.9573 0.4211
0.9573 0.7162 0.9211
0.3834 0.6166 0.7500
0.6166 0.3834 0.2500
0.0925 0.7825 0.4790
0.1559 0.4150 0.6424
0.2175 0.9075 0.0210
0.2793 0.5071 0.1888
0.4150 0.1559 0.1424
0.4929 0.7207 0.3112
0.5071 0.2793 0.6888
0.5850 0.8441 0.8576
0.7207 0.4929 0.8112
0.7825 0.0925 0.9790
0.8441 0.5850 0.3576
0.9075 0.2175 0.5210

***

GGA-PBE ZrTi2In2, relaxed; energy of formation = 1.24 eV per atom; energy above the lowest structure with this stoichiometry = 1292 meV per atom; total magnetization = 3.34 μB/f.u.
1.0
5.4221 0.0000 0.0000
0.0000 5.4221 0.0000
0.0000 0.0000 5.4596
Zr Ti In
1 2 2
direct
0.0000 0.0000 0.0000
0.0000 0.5000 0.5000
0.5000 0.0000 0.5000
0.5000 0.5000 0.0000
0.5000 0.5000 0.5000

***

GGA-PBE Zr2ZnTc, relaxed; energy of formation = 0.07 eV per atom; total magnetization = 0.00 μB/f.u.
1.0
3.3480 0.0000 0.0000
0.0000 4.8624 0.0000
0.0000 0.0000 9.2172
Zr Zn Tc
4 2 2
direct
0.0000 0.0000 0.0000
0.0000 0.5000 0.2963
0.5000 0.0000 0.2963
0.5000 0.5000 0.0000
0.0000 0.5000 0.7410
0.5000 0.0000 0.7410
0.0000 0.0000 0.5225
0.5000 0.5000 0.5225

***

GGA-PBE CaCu2AsS4, relaxed; total magnetization = 0.00 μB/f.u.; E_form (uncorrected) = -0.55 eV/atom
1.0
5.8048 0.0000 0.0000
0.0000 5.8048 0.0000
0.0000 0.0000 10.5034
Ca Cu As S
2 4 2 8
direct
0.0000 0.0000 0.0000
0.5000 0.5000 0.5000
0.0000 0.5000 0.2500
0.0000 0.5000 0.7500
0.5000 0.0000 0.2500
0.5000 0.0000 0.7500
0.0000 0.0000 0.5000
0.5000 0.5000 0.0000
0.2244 0.2244 0.6466
0.2244 0.7756 0.3534
0.2756 0.2756 0.1466
0.2756 0.7244 0.8534
0.7244 0.2756 0.8534
0.7244 0.7244 0.1466
0.7756 0.2244 0.3534
0.7756 0.7756 0.6466

***

GGA-PBE Na2H3F6, relaxed; total magnetization = 1.06 μB/f.u.; energy = -88.83 eV/cell
1.0
5.1675 -3.0632 0.0000
5.1675 3.0632 0.0000
-3.5012 0.0000 9.8481
Na H F
4 6 12
direct
0.1664 0.6663 0.9926
0.3337 0.8336 0.5074
0.6663 0.1664 0.4926
0.8336 0.3337 0.0074
0.0502 0.9498 0.7500
0.2549 0.4421 0.2499
0.4421 0.2549 0.7499
0.5579 0.7451 0.2501
0.7451 0.5579 0.7501
0.9498 0.0502 0.2500
0.0340 0.9374 0.6367
0.0626 0.9660 0.8633
0.1693 0.4308 0.1355
0.3382 0.4579 0.3625
0.4308 0.1693 0.6355
0.4579 0.3382 0.8625
0.5421 0.6618 0.1375
0.5692 0.8307 0.3645
0.6618 0.5421 0.6375
0.8307 0.5692 0.8645
0.9374 0.0340 0.1367
0.9660 0.0626 0.3633

***

GGA-PBE BeAl2Ir, relaxed; energy of formation = -0.51 eV per atom; total magnetization = 0.00 μB/f.u.
1.0
8.7283 0.0000 0.0000
0.0000 4.0006 0.0000
-1.4152 0.0000 6.2893
Be Al Ir
4 8 4
direct
0.0000 0.0000 0.0000
0.2283 0.0000 0.3667
0.5000 0.5000 0.0000
0.7283 0.5000 0.3667
0.1139 0.5000 0.4644
0.1870 0.5000 0.0038
0.4051 0.5000 0.3711
0.4142 0.0000 0.7360
0.6139 0.0000 0.4644
0.6870 0.0000 0.0038
0.9051 0.0000 0.3711
0.9142 0.5000 0.7360
0.1200 0.0000 0.7051
0.3824 0.0000 0.1148
0.6200 0.5000 0.7051
0.8824 0.5000 0.1148

***

GGA-PBE CsBaErCl6, relaxed; total magnetization = 0.00 μB/f.u.; E_form (uncorrected) = -2.33 eV/atom
1.0
7.6917 0.0000 0.0000
-3.8459 6.6612 0.0000
0.0000 0.0000 14.3766
Cs Ba Er Cl
2 2 2 12
direct
0.0000 0.0000 0.0000
0.0000 0.0000 0.5000
0.3333 0.6667 0.2500
0.6667 0.3333 0.7500
0.3333 0.6667 0.7500
0.6667 0.3333 0.2500
0.0440 0.3964 0.6443
0.0440 0.6476 0.8557
0.3524 0.3964 0.8557
0.3524 0.9560 0.6443
0.3964 0.0440 0.1443
0.3964 0.3524 0.3557
0.6036 0.6476 0.6443
0.6036 0.9560 0.8557
0.6476 0.0440 0.3557
0.6476 0.6036 0.1443
0.9560 0.3524 0.1443
0.9560 0.6036 0.3557